A relaxed RbAgSbAu crystal, computed with GGA-PBE. Values from VASP.

Calculated values
The volume comes out at 130 Å³/cell. The magnetic moment is 0.00 μB/f.u. Its uncorrected formation energy is -0.20 eV per atom.

```
&SYSTEM
  ibrav = 0, nat = 4, ntyp = 4
/
ATOMIC_SPECIES
Au 196.97 Au.upf
Ag 107.87 Ag.upf
Sb 121.76 Sb.upf
Rb 85.47 Rb.upf
CELL_PARAMETERS angstrom
-3.752 -1.777 2.819
-0.756 -3.772 -3.384
5.536 -0.148 2.809
ATOMIC_POSITIONS crystal
Au 0.614 0.614 0.228
Ag 0.321 0.321 0.643
Sb 0.212 0.712 0.424
Rb 0.968 0.968 0.935
```

=====

A relaxed ScH crystal, computed with GGA-PBE. Values from VASP.

Calculated values
The volume comes out at 424 Å³/cell. The magnetic moment is 0.00 μB/f.u. For the calculated total energy, the calculation gives -0.3909 Ry/atom.

```
&SYSTEM
  ibrav = 0, nat = 32, ntyp = 2
/
ATOMIC_SPECIES
Sc 44.96 Sc.upf
H 1.01 H.upf
CELL_PARAMETERS angstrom
-0.940 6.325 -2.267
-8.300 -2.529 -3.614
-2.983 1.608 5.724
ATOMIC_POSITIONS crystal
Sc 0.007 0.750 0.250
H 0.750 0.625 0.750
H 0.000 0.125 0.000
H 0.250 0.125 0.750
Sc 0.757 0.500 0.500
Sc 0.993 0.250 0.250
Sc 0.007 0.250 0.750
Sc 0.757 0.000 0.000
H 0.000 0.875 0.000
H 0.250 0.375 0.750
Sc 0.243 0.500 0.500
Sc 0.493 0.750 0.250
Sc 0.257 0.500 0.000
Sc 0.257 0.000 0.500
Sc 0.743 0.000 0.500
Sc 0.243 0.000 0.000
Sc 0.493 0.250 0.750
H 0.000 0.375 0.500
H 0.750 0.875 0.750
H 0.500 0.375 0.000
Sc 0.743 0.500 0.000
H 0.750 0.375 0.250
H 0.000 0.625 0.500
Sc 0.993 0.750 0.750
H 0.750 0.125 0.250
Sc 0.507 0.750 0.750
Sc 0.507 0.250 0.250
H 0.250 0.875 0.250
H 0.500 0.875 0.500
H 0.500 0.125 0.500
H 0.250 0.625 0.250
H 0.500 0.625 0.000
```

=====

- Look up the volume of the second one.
  424 Å³/cell

=====

- Which value of volume does entry 2 give?
  424 Å³/cell

=====

Please write out number 2 again, unchanged.
A relaxed ScH crystal, computed with GGA-PBE. Values from VASP.

Calculated values
The volume comes out at 424 Å³/cell. The magnetic moment is 0.00 μB/f.u. For the calculated total energy, the calculation gives -0.3909 Ry/atom.

```
&SYSTEM
  ibrav = 0, nat = 32, ntyp = 2
/
ATOMIC_SPECIES
Sc 44.96 Sc.upf
H 1.01 H.upf
CELL_PARAMETERS angstrom
-0.940 6.325 -2.267
-8.300 -2.529 -3.614
-2.983 1.608 5.724
ATOMIC_POSITIONS crystal
Sc 0.007 0.750 0.250
H 0.750 0.625 0.750
H 0.000 0.125 0.000
H 0.250 0.125 0.750
Sc 0.757 0.500 0.500
Sc 0.993 0.250 0.250
Sc 0.007 0.250 0.750
Sc 0.757 0.000 0.000
H 0.000 0.875 0.000
H 0.250 0.375 0.750
Sc 0.243 0.500 0.500
Sc 0.493 0.750 0.250
Sc 0.257 0.500 0.000
Sc 0.257 0.000 0.500
Sc 0.743 0.000 0.500
Sc 0.243 0.000 0.000
Sc 0.493 0.250 0.750
H 0.000 0.375 0.500
H 0.750 0.875 0.750
H 0.500 0.375 0.000
Sc 0.743 0.500 0.000
H 0.750 0.375 0.250
H 0.000 0.625 0.500
Sc 0.993 0.750 0.750
H 0.750 0.125 0.250
Sc 0.507 0.750 0.750
Sc 0.507 0.250 0.250
H 0.250 0.875 0.250
H 0.500 0.875 0.500
H 0.500 0.125 0.500
H 0.250 0.625 0.250
H 0.500 0.625 0.000
```